Crystalline CuAg2F4 at its relaxed geometry, computed with PBE.

Calculated values
Polymorph energy (0 for the lowest one) in meV per atom: 0
Total magnetic moment in μB/cell: 1.01
Total DFT energy (no corrections) in eV per cell: -25.6
Uncorrected formation energy in eV per formula unit: -8.30

Geometry as POSCAR:
```
CuAg2F4
1.0
3.275 0.000 0.000
0.000 5.829 -1.676
0.000 0.601 6.036
Ag Cu F
2 1 4
direct
0.500 0.500 0.000
0.500 0.000 0.500
0.000 0.000 0.000
0.500 0.179 0.179
0.000 0.206 0.794
0.500 0.821 0.821
0.000 0.794 0.206
```